# 1
# PmErNO

PmErNO after structural relaxation (PBE, the Open Quantum Materials Database).

Geometry as POSCAR:
```
PmErNO
1.0
4.0166 0.0000 0.0000
0.0000 4.9211 0.0000
0.0000 0.0000 6.9533
Er O N Pm
2 2 2 2
direct
0.0000 0.9382 0.6656 Er
0.0000 0.4382 0.3344 Er
0.5000 0.4385 0.1928 O
0.5000 0.9385 0.8072 O
0.0000 0.9387 0.3448 N
0.0000 0.4387 0.6552 N
0.5000 0.9386 0.1641 Pm
0.5000 0.4386 0.8359 Pm
```

Values from the calculation:
* magnetic moment: 0.00 μB/cell
* final energy: -7.84 eV per atom
* relative energy among the computed polymorphs: 12 meV per atom

***

# 2
# PmErNO

PmErNO after structural relaxation (PBE, the Open Quantum Materials Database).

Geometry as POSCAR:
```
PmErNO
1.0
-2.0082 -3.4782 0.0000
0.0000 0.0000 4.9644
-6.0109 3.4704 0.0000
O Er Pm N
2 2 2 2
direct
0.5000 0.9371 0.8499 O
0.5000 0.4371 0.1501 O
0.5000 0.4390 0.8286 Er
0.5000 0.9390 0.1714 Er
0.0000 0.4387 0.3377 Pm
0.0000 0.9387 0.6623 Pm
0.0000 0.4392 0.6805 N
0.0000 0.9392 0.3195 N
```

Values from the calculation:
* magnetic moment: 0.01 μB/cell
* final energy: -7.79 eV per atom
* relative energy among the computed polymorphs: 60 meV per atom

***

# 3
# PmErNO

PmErNO after structural relaxation (PBE, the Open Quantum Materials Database).

Geometry as POSCAR:
```
PmErNO
1.0
6.6496 0.0000 0.0000
0.0000 8.1533 0.0000
0.0000 0.0000 5.0521
Pm Er N O
4 4 4 4
direct
0.4207 0.1299 0.5507 Pm
0.9207 0.8701 0.5507 Pm
0.0793 0.1299 0.0507 Pm
0.5793 0.8701 0.0507 Pm
0.5737 0.3806 0.0504 Er
0.9263 0.3806 0.5504 Er
0.4263 0.6194 0.5504 Er
0.0737 0.6194 0.0504 Er
0.0612 0.1351 0.5508 N
0.5612 0.8649 0.5508 N
0.9388 0.8649 0.0508 N
0.4388 0.1351 0.0508 N
0.0973 0.6175 0.5506 O
0.4027 0.6175 0.0506 O
0.9027 0.3825 0.0506 O
0.5973 0.3825 0.5506 O
```

Values from the calculation:
* magnetic moment: 0.01 μB/cell
* final energy: -7.76 eV per atom
* relative energy among the computed polymorphs: 91 meV per atom

***

# 4
# PmErNO

PmErNO after structural relaxation (PBE, the Open Quantum Materials Database).

Geometry as POSCAR:
```
PmErNO
1.0
-2.2317 2.6425 -5.7444
-7.6554 -0.7825 2.6141
0.2200 4.5412 2.0035
Pm Er O N
4 4 4 4
direct
0.4311 0.6254 0.5504 Pm
0.5689 0.3746 0.0504 Pm
0.9311 0.3746 0.5504 Pm
0.0689 0.6254 0.0504 Pm
0.5854 0.8779 0.0509 Er
0.0854 0.1221 0.0509 Er
0.4146 0.1221 0.5509 Er
0.9146 0.8779 0.5509 Er
0.5867 0.3560 0.5505 O
0.0867 0.6440 0.5505 O
0.4133 0.6440 0.0505 O
0.9133 0.3560 0.0505 O
0.9212 0.8832 0.0506 N
0.4212 0.1168 0.0506 N
0.5788 0.8832 0.5506 N
0.0788 0.1168 0.5506 N
```

Values from the calculation:
* magnetic moment: 0.01 μB/cell
* final energy: -7.82 eV per atom
* relative energy among the computed polymorphs: 27 meV per atom

***

# 5
# PrErNO

PrErNO after structural relaxation (PBE, the Open Quantum Materials Database).

Geometry as POSCAR:
```
PrErNO
1.0
-3.5877 -1.0863 1.5252
1.7632 -4.5608 0.8992
2.0919 2.0696 6.3950
Pr N O Er
2 2 2 2
direct
0.5000 0.9386 0.1642 Pr
0.5000 0.4386 0.8358 Pr
0.0000 0.4382 0.6519 N
0.0000 0.9382 0.3481 N
0.5000 0.9386 0.8007 O
0.5000 0.4386 0.1993 O
0.0000 0.4386 0.3366 Er
0.0000 0.9386 0.6634 Er
```

Values from the calculation:
* magnetic moment: 0.02 μB/cell
* final energy: -7.79 eV per atom
* relative energy among the computed polymorphs: 0 meV per atom

***

# 6
# PrErNO

PrErNO after structural relaxation (PBE, the Open Quantum Materials Database).

Geometry as POSCAR:
```
PrErNO
1.0
-2.0408 -3.5348 0.0000
0.0000 0.0000 5.0483
-6.0501 3.4930 0.0000
N Pr Er O
2 2 2 2
direct
0.0000 0.4410 0.6905 N
0.0000 0.9410 0.3095 N
0.0000 0.9394 0.6613 Pr
0.0000 0.4394 0.3387 Pr
0.5000 0.9418 0.1726 Er
0.5000 0.4418 0.8274 Er
0.5000 0.4318 0.1443 O
0.5000 0.9318 0.8557 O
```

Values from the calculation:
* magnetic moment: 0.32 μB/cell
* final energy: -7.73 eV per atom
* relative energy among the computed polymorphs: 57 meV per atom

***

# 7
# PrErNO

PrErNO after structural relaxation (PBE, the Open Quantum Materials Database).

Geometry as POSCAR:
```
PrErNO
1.0
6.7680 0.0000 0.0000
0.0000 8.3047 0.0000
0.0000 0.0000 5.0908
Pr Er N O
4 4 4 4
direct
0.0771 0.1304 0.0495 Pr
0.5771 0.8696 0.0495 Pr
0.9229 0.8696 0.5495 Pr
0.4229 0.1304 0.5495 Pr
0.5760 0.3808 0.0514 Er
0.4240 0.6192 0.5514 Er
0.0760 0.6192 0.0514 Er
0.9240 0.3808 0.5514 Er
0.4408 0.1399 0.0490 N
0.9408 0.8601 0.0490 N
0.5592 0.8601 0.5490 N
0.0592 0.1399 0.5490 N
0.5983 0.3899 0.5524 O
0.9017 0.3899 0.0524 O
0.4017 0.6101 0.0524 O
0.0983 0.6101 0.5524 O
```

Values from the calculation:
* magnetic moment: 0.02 μB/cell
* final energy: -7.71 eV per atom
* relative energy among the computed polymorphs: 85 meV per atom

***

# 8
# PrErNO

PrErNO after structural relaxation (PBE, the Open Quantum Materials Database).

Geometry as POSCAR:
```
PrErNO
1.0
-1.6597 2.2072 -3.4519
-3.9464 -1.8624 0.7065
-2.1394 6.5004 5.1852
Pr O Er N
2 2 2 2
direct
0.2500 0.2500 0.1111 Pr
0.7500 0.7500 0.8889 Pr
0.7500 0.2500 0.0000 O
0.2500 0.7500 0.0000 O
0.2500 0.7500 0.5000 Er
0.7500 0.2500 0.5000 Er
0.7500 0.7500 0.4402 N
0.2500 0.2500 0.5598 N
```

Values from the calculation:
* magnetic moment: 0.03 μB/cell
* final energy: -7.44 eV per atom
* relative energy among the computed polymorphs: 347 meV per atom

***

# 9
# PrErNO

PrErNO after structural relaxation (PBE, the Open Quantum Materials Database).

Geometry as POSCAR:
```
PrErNO
1.0
6.7614 0.0000 0.0000
0.0000 8.2183 0.0000
0.0000 0.0000 5.0318
Pr Er N O
4 4 4 4
direct
0.4327 0.6270 0.5501 Pr
0.0673 0.6270 0.0501 Pr
0.9327 0.3730 0.5501 Pr
0.5673 0.3730 0.0501 Pr
0.4143 0.1199 0.5512 Er
0.9143 0.8801 0.5512 Er
0.0857 0.1199 0.0512 Er
0.5857 0.8801 0.0512 Er
0.0820 0.1136 0.5511 N
0.4180 0.1136 0.0511 N
0.9180 0.8864 0.0511 N
0.5820 0.8864 0.5511 N
0.9165 0.3513 0.0500 O
0.5835 0.3513 0.5500 O
0.0835 0.6487 0.5500 O
0.4165 0.6487 0.0500 O
```

Values from the calculation:
* magnetic moment: 0.01 μB/cell
* final energy: -7.78 eV per atom
* relative energy among the computed polymorphs: 10 meV per atom

***

# 10
# PrErNO

PrErNO after structural relaxation (PBE, the Open Quantum Materials Database).

Geometry as POSCAR:
```
PrErNO
1.0
4.4304 0.0000 0.0000
0.0000 4.4304 0.0000
0.0000 0.0000 8.4987
O N Er Pr
2 2 2 2
direct
0.5000 0.5000 0.0000 O
0.0000 0.0000 0.0000 O
0.0000 0.5000 0.5601 N
0.5000 0.0000 0.4399 N
0.0000 0.0000 0.5000 Er
0.5000 0.5000 0.5000 Er
0.5000 0.0000 0.8898 Pr
0.0000 0.5000 0.1102 Pr
```

Values from the calculation:
* magnetic moment: 0.02 μB/cell
* final energy: -7.44 eV per atom
* relative energy among the computed polymorphs: 347 meV per atom

***

# 11
# PrErNO

PrErNO after structural relaxation (PBE, the Open Quantum Materials Database).

Geometry as POSCAR:
```
PrErNO
1.0
4.7824 0.0000 0.0000
0.0000 4.7824 0.0000
0.0000 0.0000 5.7728
O N Pr Er
2 2 2 2
direct
0.7500 0.2500 0.0000 O
0.2500 0.7500 0.0000 O
0.2500 0.2500 0.6104 N
0.7500 0.7500 0.3896 N
0.7500 0.2500 0.5000 Pr
0.2500 0.7500 0.5000 Pr
0.2500 0.2500 0.9750 Er
0.7500 0.7500 0.0250 Er
```

Values from the calculation:
* magnetic moment: 0.00 μB/cell
* final energy: -7.68 eV per atom
* relative energy among the computed polymorphs: 109 meV per atom

***

# 12
# RbErNO

RbErNO after structural relaxation (PBE, the Open Quantum Materials Database).

Geometry as POSCAR:
```
RbErNO
1.0
3.6460 0.0000 0.0000
0.0000 6.6570 0.0000
0.0000 0.0000 7.4589
Er N Rb O
2 2 2 2
direct
0.0000 0.4961 0.3300 Er
0.0000 0.9961 0.6700 Er
0.0000 0.8101 0.4242 N
0.0000 0.3101 0.5758 N
0.5000 0.5052 0.8204 Rb
0.5000 0.0052 0.1796 Rb
0.5000 0.9425 0.8122 O
0.5000 0.4425 0.1878 O
```

Values from the calculation:
* magnetic moment: 2.00 μB/cell
* final energy: -5.96 eV per atom
* relative energy among the computed polymorphs: 5 meV per atom

***

# 13
# RbErNO

RbErNO after structural relaxation (PBE, the Open Quantum Materials Database).

Geometry as POSCAR:
```
RbErNO
1.0
-1.5926 -2.8048 5.7798
-5.5986 -5.8767 -4.3945
4.5948 -3.9065 -0.6297
Er O Rb N
4 4 4 4
direct
0.9079 0.4036 0.4825 Er
0.4079 0.5964 0.4825 Er
0.0921 0.5964 0.9825 Er
0.5921 0.4036 0.9825 Er
0.6188 0.4498 0.6332 O
0.1188 0.5502 0.6332 O
0.3812 0.5502 0.1332 O
0.8812 0.4498 0.1332 O
0.9393 0.8735 0.5342 Rb
0.5607 0.8735 0.0342 Rb
0.0607 0.1265 0.0342 Rb
0.4393 0.1265 0.5342 Rb
0.0022 0.8154 0.0525 N
0.4978 0.8154 0.5525 N
0.9978 0.1846 0.5525 N
0.5022 0.1846 0.0525 N
```

Values from the calculation:
* magnetic moment: 4.00 μB/cell
* final energy: -5.90 eV per atom
* relative energy among the computed polymorphs: 65 meV per atom

***

# 14
# RbErNO

RbErNO after structural relaxation (PBE, the Open Quantum Materials Database).

Geometry as POSCAR:
```
RbErNO
1.0
-1.9497 -3.3770 0.0000
0.0000 0.0000 6.3139
-6.5009 3.7533 0.0000
Rb N O Er
2 2 2 2
direct
0.0000 0.4773 0.3308 Rb
0.0000 0.9773 0.6692 Rb
0.0000 0.4406 0.7168 N
0.0000 0.9406 0.2832 N
0.5000 0.3322 0.0949 O
0.5000 0.8322 0.9051 O
0.5000 0.5039 0.8555 Er
0.5000 0.0039 0.1445 Er
```

Values from the calculation:
* magnetic moment: 2.00 μB/cell
* final energy: -5.97 eV per atom
* relative energy among the computed polymorphs: 0 meV per atom

***

# 15
# RbErNO

RbErNO after structural relaxation (PBE, the Open Quantum Materials Database).

Geometry as POSCAR:
```
RbErNO
1.0
2.8428 -2.8428 0.0000
2.8428 2.8428 0.0000
0.0000 0.0000 8.8553
O Er Rb N
2 2 2 2
direct
0.7500 0.2500 0.0000 O
0.2500 0.7500 0.0000 O
0.7500 0.7500 0.8878 Er
0.2500 0.2500 0.1122 Er
0.7500 0.2500 0.5000 Rb
0.2500 0.7500 0.5000 Rb
0.2500 0.2500 0.7206 N
0.7500 0.7500 0.2794 N
```

Values from the calculation:
* magnetic moment: 2.00 μB/cell
* final energy: -5.42 eV per atom
* relative energy among the computed polymorphs: 543 meV per atom

***

# 16
# RbErNO

RbErNO after structural relaxation (PBE, the Open Quantum Materials Database).

Geometry as POSCAR:
```
RbErNO
1.0
4.5226 0.0000 0.0000
0.0000 4.5226 0.0000
0.0000 0.0000 9.8152
Er O Rb N
2 2 2 2
direct
0.2500 0.7500 0.5000 Er
0.7500 0.2500 0.5000 Er
0.7500 0.2500 0.0000 O
0.2500 0.7500 0.0000 O
0.2500 0.2500 0.1446 Rb
0.7500 0.7500 0.8554 Rb
0.7500 0.7500 0.4559 N
0.2500 0.2500 0.5441 N
```

Values from the calculation:
* magnetic moment: 2.00 μB/cell
* final energy: -5.34 eV per atom
* relative energy among the computed polymorphs: 629 meV per atom

***

# 17
# Er3S2NO

Er3S2NO after structural relaxation (PBE, the Open Quantum Materials Database).

Geometry as POSCAR:
```
Er3S2NO
1.0
-7.5299 -0.2130 -1.7415
-7.2801 -2.1282 1.4997
0.2232 8.1023 4.7704
Er O S N
6 2 4 2
direct
0.1976 0.1976 0.6715 Er
0.9473 0.9473 0.7365 Er
0.3896 0.3896 0.0569 Er
0.0527 0.0527 0.2635 Er
0.6104 0.6104 0.9431 Er
0.8024 0.8024 0.3285 Er
0.4597 0.4597 0.8612 O
0.5403 0.5403 0.1388 O
0.6354 0.6354 0.4699 S
0.3646 0.3646 0.5301 S
0.2152 0.2152 0.1513 S
0.7848 0.7848 0.8487 S
0.9052 0.9052 0.1957 N
0.0948 0.0948 0.8043 N
```

Values from the calculation:
* magnetic moment: 0.00 μB/cell
* final energy: -7.44 eV per atom

***

# 18
# ErSbNO

ErSbNO after structural relaxation (PBE, the Open Quantum Materials Database).

Geometry as POSCAR:
```
ErSbNO
1.0
4.8704 0.0000 0.0000
0.0000 4.8704 0.0000
0.0000 0.0000 5.0026
O N Er Sb
2 2 2 2
direct
0.7500 0.2500 0.0000 O
0.2500 0.7500 0.0000 O
0.2500 0.2500 0.5843 N
0.7500 0.7500 0.4157 N
0.2500 0.7500 0.5000 Er
0.7500 0.2500 0.5000 Er
0.2500 0.2500 0.0010 Sb
0.7500 0.7500 0.9990 Sb
```

Values from the calculation:
* magnetic moment: 0.00 μB/cell
* final energy: -6.55 eV per atom
* relative energy among the computed polymorphs: 407 meV per atom

***

# 19
# ErSbNO

ErSbNO after structural relaxation (PBE, the Open Quantum Materials Database).

Geometry as POSCAR:
```
ErSbNO
1.0
5.5006 0.0000 0.0000
0.0000 8.0387 0.0000
0.0000 0.0000 5.7769
Er Sb N O
4 4 4 4
direct
0.4879 0.6266 0.4810 Er
0.0121 0.6266 0.9810 Er
0.9879 0.3734 0.4810 Er
0.5121 0.3734 0.9810 Er
0.0217 0.8695 0.4922 Sb
0.4783 0.8695 0.9922 Sb
0.5217 0.1305 0.4922 Sb
0.9783 0.1305 0.9922 Sb
0.3563 0.1079 0.9987 N
0.8563 0.8921 0.9987 N
0.1437 0.1079 0.4987 N
0.6437 0.8921 0.4987 N
0.7490 0.5168 0.2304 O
0.2510 0.4832 0.7304 O
0.2490 0.4832 0.2304 O
0.7510 0.5168 0.7304 O
```

Values from the calculation:
* magnetic moment: 0.00 μB/cell
* final energy: -6.96 eV per atom
* relative energy among the computed polymorphs: 0 meV per atom

***

# 20
# ErSbNO

ErSbNO after structural relaxation (PBE, the Open Quantum Materials Database).

Geometry as POSCAR:
```
ErSbNO
1.0
6.7284 0.0000 0.0000
0.0000 7.2787 0.0000
0.0000 0.0000 5.4405
O Er Sb N
4 4 4 4
direct
0.4392 0.9104 0.6853 O
0.0608 0.9104 0.1853 O
0.9392 0.0896 0.6853 O
0.5608 0.0896 0.1853 O
0.9123 0.3519 0.4769 Er
0.0877 0.6481 0.9769 Er
0.4123 0.6481 0.4769 Er
0.5877 0.3519 0.9769 Er
0.3790 0.1774 0.4822 Sb
0.6210 0.8226 0.9822 Sb
0.8790 0.8226 0.4822 Sb
0.1210 0.1774 0.9822 Sb
0.9111 0.3870 0.0581 N
0.4111 0.6130 0.0581 N
0.5889 0.3870 0.5581 N
0.0889 0.6130 0.5581 N
```

Values from the calculation:
* magnetic moment: 0.01 μB/cell
* final energy: -6.68 eV per atom
* relative energy among the computed polymorphs: 277 meV per atom